Entry 1:
# AcCeThSc

An optimized crystal structure of AcCeThSc (GGA-PBE, the Alexandria database).

```
AcCeThSc
1.0
0.000 3.992 3.992
3.992 0.000 3.992
3.992 3.992 0.000
Ac Ce Th Sc
1 1 1 1
Cartesian
0.000 0.000 0.000
5.989 5.989 5.989
3.992 3.992 3.992
1.996 1.996 1.996
```

Calculated values
The electronic total energy is -22.92 eV/cell. The energy of formation from the pure elements is 219 meV per atom. The crystal system is cubic. The value obtained for the size of the total moment is 0.59 μB per formula unit.

=====

Entry 2:
# AcCeTmSc

An optimized crystal structure of AcCeTmSc (GGA-PBE, the Alexandria database).

```
AcCeTmSc
1.0
0.000 4.016 4.016
4.016 0.000 4.016
4.016 4.016 0.000
Ac Ce Tm Sc
1 1 1 1
Cartesian
0.000 0.000 0.000
4.016 4.016 4.016
6.025 6.025 6.025
2.008 2.008 2.008
```

Calculated values
The electronic total energy is -20.18 eV/cell. The energy of formation from the pure elements is 165 meV per atom. The crystal system is cubic. The value obtained for the size of the total moment is 0.50 μB per formula unit.

=====

Entry 3:
# Ac4CeSe6

An optimized crystal structure of Ac4CeSe6 (GGA-PBE, the Alexandria database).

```
Ac4CeSe6
1.0
6.188 3.573 5.009
-6.188 3.573 5.009
0.000 -7.146 5.009
Ac Ce Se
8 2 12
Cartesian
-3.829 0.513 6.261
0.000 0.000 3.757
-2.359 -3.060 8.765
1.470 -3.573 6.261
-1.470 3.573 8.765
2.359 3.060 6.261
0.000 0.000 11.270
3.829 -0.513 8.765
0.000 0.000 0.000
0.000 0.000 7.513
-5.281 -1.399 8.320
-1.429 -5.273 6.706
-1.429 -1.873 5.815
-3.852 3.874 6.706
-0.907 2.174 5.815
-2.336 0.301 9.211
2.336 -0.301 5.815
0.907 -2.174 9.211
3.852 -3.874 8.320
1.429 1.873 9.211
1.429 5.273 8.320
5.281 1.399 6.706
```

Calculated values
The electronic total energy is -126.39 eV/cell. The crystal system is trigonal. The value obtained for the size of the total moment is 1.11 μB per formula unit. As for the raw formation energy: -1.81 eV/atom.

=====

Entry 4:
# Ac5CeSe6

An optimized crystal structure of Ac5CeSe6 (GGA-PBE, the Alexandria database).

```
Ac5CeSe6
1.0
3.831 -6.644 0.000
3.831 6.644 0.000
-2.570 0.000 7.236
Ac Ce Se
5 1 6
Cartesian
0.000 0.000 0.000
2.546 4.440 3.618
3.831 2.264 0.000
3.831 -2.264 0.000
2.546 -4.440 3.618
2.546 0.000 3.618
1.310 2.158 1.862
0.058 0.000 5.413
1.310 -2.158 1.862
3.782 2.158 5.373
5.034 0.000 1.823
3.782 -2.158 5.373
```

Calculated values
The electronic total energy is -69.59 eV/cell. The crystal system is monoclinic. The value obtained for the size of the total moment is 1.09 μB per formula unit. As for the raw formation energy: -1.85 eV/atom.

=====

Entry 5:
# Ac2CeSe5

An optimized crystal structure of Ac2CeSe5 (GGA-PBE, the Alexandria database).

```
Ac2CeSe5
1.0
12.768 0.000 0.000
0.000 8.846 0.000
0.000 0.000 8.092
Ac Ce Se
8 4 20
Cartesian
2.233 0.016 0.314
2.233 4.406 0.314
4.152 4.439 4.360
4.152 8.829 4.360
8.617 0.016 3.732
8.617 4.406 3.732
10.536 4.439 7.778
10.536 8.829 7.778
0.100 2.211 4.569
6.284 6.634 0.523
6.484 2.211 7.569
12.668 6.634 3.523
0.032 2.211 7.689
1.105 4.765 5.418
1.105 8.503 5.418
2.436 2.211 2.769
2.704 6.634 2.587
3.680 2.211 6.633
3.948 6.634 6.815
5.279 0.343 1.372
5.279 4.080 1.372
6.352 6.634 3.643
6.416 2.211 4.448
7.489 4.765 6.720
7.489 8.503 6.720
8.820 2.211 1.277
9.088 6.634 1.459
10.064 2.211 5.505
10.332 6.634 5.323
11.663 0.343 2.674
11.663 4.080 2.674
12.736 6.634 0.403
```

Calculated values
The electronic total energy is -188.07 eV/cell. The crystal system is orthorhombic. The value obtained for the size of the total moment is 0.00 μB per formula unit. As for the raw formation energy: -1.93 eV/atom.

=====

Entry 6:
# AcCeSe2

An optimized crystal structure of AcCeSe2 (GGA-PBE, the Alexandria database).

```
AcCeSe2
1.0
0.000 3.756 3.756
3.756 0.000 3.756
3.756 3.756 0.000
Ac Ce Se
1 1 2
Cartesian
0.000 0.000 0.000
3.756 3.756 3.756
1.878 1.878 1.878
5.635 5.635 5.635
```

Calculated values
The electronic total energy is -23.29 eV/cell. The crystal system is cubic. The value obtained for the size of the total moment is 2.02 μB per formula unit. The value obtained for the distance to the lowest polymorph of the same formula is 259 meV/atom. As for the raw formation energy: -1.57 eV/atom.

=====

Entry 7:
# AcCe6Se8

An optimized crystal structure of AcCe6Se8 (GGA-PBE, the Alexandria database).

```
AcCe6Se8
1.0
0.000 5.973 5.973
5.973 0.000 5.973
5.973 5.973 0.000
Ac Ce Se
1 6 8
Cartesian
0.000 0.000 0.000
2.987 2.987 0.000
2.987 0.000 2.987
5.973 2.987 2.987
0.000 2.987 2.987
2.987 5.973 2.987
2.987 2.987 5.973
2.987 2.987 2.987
5.973 5.973 3.109
5.973 3.109 5.973
8.838 5.973 5.973
3.109 5.973 5.973
5.973 8.838 5.973
5.973 5.973 8.838
8.960 8.960 8.960
```

Calculated values
The electronic total energy is -94.80 eV/cell. The crystal system is cubic. The value obtained for the size of the total moment is 6.93 μB per formula unit. As for the raw formation energy: -1.81 eV/atom.

=====

Entry 8:
# Ac4CeSe5

An optimized crystal structure of Ac4CeSe5 (GGA-PBE, the Alexandria database).

```
Ac4CeSe5
1.0
-2.206 3.129 11.065
2.206 -3.129 11.065
2.206 3.129 -11.065
Ac Ce Se
4 1 5
Cartesian
0.000 0.000 2.198
0.000 0.000 6.723
0.000 0.000 15.408
0.000 0.000 19.933
0.000 0.000 11.065
2.206 0.000 0.000
2.206 0.000 4.458
2.206 0.000 8.980
0.000 3.129 2.085
0.000 3.129 6.608
```

Calculated values
The electronic total energy is -58.22 eV/cell. The crystal system is orthorhombic. The value obtained for the size of the total moment is 1.33 μB per formula unit. As for the raw formation energy: -1.84 eV/atom.